(1)
# LaCu2W | the Alexandria database | PBE-GGA | optimized geometry
data_LaCu2W
_cell_length_a 4.279
_cell_length_b 2.952
_cell_length_c 5.932
_cell_angle_alpha 75.65
_cell_angle_beta 90.00
_cell_angle_gamma 90.00
_symmetry_space_group_name_H-M 'P 1'
_symmetry_Int_Tables_number 1
loop_
_symmetry_equiv_pos_as_xyz
'x,y,z'
loop_
_atom_site_label
_atom_site_type_symbol
_atom_site_fract_x
_atom_site_fract_y
_atom_site_fract_z
Cu1 Cu 0.500 0.079 0.218
Cu2 Cu 0.000 0.199 0.977
La1 La 0.000 0.453 0.470
W1 W 0.500 0.770 0.836
# V ... 73 Å³ per cell
# M_tot ... 0.0 μB/cell
# SG ... Amm2
# Energy of formation ... 438 meV/atom

=====

(2)
# Li2AlCl5 | the Alexandria database | PBE-GGA | optimized geometry
data_Li2AlCl5
_cell_length_a 7.356
_cell_length_b 10.140
_cell_length_c 12.456
_cell_angle_alpha 90.00
_cell_angle_beta 90.00
_cell_angle_gamma 90.00
_symmetry_space_group_name_H-M 'P 1'
_symmetry_Int_Tables_number 1
loop_
_symmetry_equiv_pos_as_xyz
'x,y,z'
loop_
_atom_site_label
_atom_site_type_symbol
_atom_site_fract_x
_atom_site_fract_y
_atom_site_fract_z
Cl1 Cl 0.000 0.449 0.366
Cl2 Cl 0.266 0.226 0.658
Cl3 Cl 0.766 0.726 0.842
Cl4 Cl 0.000 0.876 0.094
Cl5 Cl 0.766 0.274 0.158
Cl6 Cl 0.500 0.051 0.866
Cl7 Cl 0.000 0.104 0.367
Cl8 Cl 0.000 0.896 0.633
Cl9 Cl 0.000 0.551 0.634
Cl10 Cl 0.500 0.604 0.133
Cl11 Cl 0.734 0.226 0.658
Cl12 Cl 0.234 0.274 0.158
Cl13 Cl 0.234 0.726 0.842
Cl14 Cl 0.500 0.624 0.594
Cl15 Cl 0.266 0.774 0.342
Cl16 Cl 0.000 0.124 0.906
Cl17 Cl 0.734 0.774 0.342
Cl18 Cl 0.500 0.949 0.134
Cl19 Cl 0.500 0.376 0.406
Cl20 Cl 0.500 0.396 0.867
Li1 Li 0.285 0.500 0.500
Li2 Li 0.215 0.000 0.000
Li3 Li 0.500 0.609 0.776
Li4 Li 0.715 0.500 0.500
Li5 Li 0.000 0.891 0.276
Li6 Li 0.785 0.000 0.000
Li7 Li 0.000 0.109 0.724
Li8 Li 0.500 0.391 0.224
Al1 Al 0.000 0.274 0.264
Al2 Al 0.500 0.226 0.764
Al3 Al 0.000 0.726 0.736
Al4 Al 0.500 0.774 0.236
# Final energy ... -3.766 eV/atom
# V ... 929 Å³ per cell
# M_tot ... 0.1 μB/cell
# SG ... Pnnm

=====

(3)
# SmPdO3 | the Alexandria database | PBE-GGA | optimized geometry
data_SmPdO3
_cell_length_a 6.321
_cell_length_b 6.321
_cell_length_c 10.615
_cell_angle_alpha 58.25
_cell_angle_beta 58.25
_cell_angle_gamma 50.35
_symmetry_space_group_name_H-M 'P 1'
_symmetry_Int_Tables_number 1
loop_
_symmetry_equiv_pos_as_xyz
'x,y,z'
loop_
_atom_site_label
_atom_site_type_symbol
_atom_site_fract_x
_atom_site_fract_y
_atom_site_fract_z
O1 O 0.128 0.672 0.548
O2 O 0.816 0.848 0.331
O3 O 0.184 0.152 0.669
O4 O 0.645 0.664 0.183
O5 O 0.848 0.816 0.831
O6 O 0.672 0.128 0.048
O7 O 0.152 0.184 0.169
O8 O 0.328 0.872 0.952
O9 O 0.355 0.336 0.817
O10 O 0.336 0.355 0.317
O11 O 0.664 0.645 0.683
O12 O 0.872 0.328 0.452
Pd1 Pd 0.500 0.000 0.000
Pd2 Pd 0.257 0.743 0.750
Pd3 Pd 0.000 0.500 0.500
Pd4 Pd 0.743 0.257 0.250
Sm1 Sm 0.917 0.368 0.868
Sm2 Sm 0.083 0.632 0.132
Sm3 Sm 0.368 0.917 0.368
Sm4 Sm 0.632 0.083 0.632
# Final energy ... -6.861 eV/atom
# V ... 266 Å³ per cell
# M_tot ... 0.0 μB/cell
# SG ... C2/c

=====

(4)
# AlTe2O6 | the Alexandria database | PBE-GGA | optimized geometry
data_AlTe2O6
_cell_length_a 5.031
_cell_length_b 6.824
_cell_length_c 6.824
_cell_angle_alpha 101.90
_cell_angle_beta 82.82
_cell_angle_gamma 82.82
_symmetry_space_group_name_H-M 'P 1'
_symmetry_Int_Tables_number 1
loop_
_symmetry_equiv_pos_as_xyz
'x,y,z'
loop_
_atom_site_label
_atom_site_type_symbol
_atom_site_fract_x
_atom_site_fract_y
_atom_site_fract_z
O1 O 0.847 0.948 0.345
O2 O 0.014 0.489 0.688
O3 O 0.514 0.688 0.489
O4 O 0.111 0.824 0.934
O5 O 0.389 0.066 0.176
O6 O 0.486 0.312 0.511
O7 O 0.611 0.934 0.824
O8 O 0.889 0.176 0.066
O9 O 0.153 0.052 0.655
O10 O 0.986 0.511 0.312
O11 O 0.653 0.655 0.052
O12 O 0.347 0.345 0.948
Te1 Te 0.653 0.446 0.207
Te2 Te 0.153 0.207 0.446
Te3 Te 0.347 0.554 0.793
Te4 Te 0.847 0.793 0.554
Al1 Al 0.750 0.923 0.077
Al2 Al 0.250 0.077 0.923
# Final energy ... -5.782 eV/atom
# V ... 225 Å³ per cell
# M_tot ... 0.0 μB/cell
# SG ... C2/c

=====

(5)
# Rb2ZnAgF5 | the Alexandria database | PBE-GGA | optimized geometry
data_Rb2ZnAgF5
_cell_length_a 6.709
_cell_length_b 7.130
_cell_length_c 7.130
_cell_angle_alpha 90.00
_cell_angle_beta 90.00
_cell_angle_gamma 90.00
_symmetry_space_group_name_H-M 'P 1'
_symmetry_Int_Tables_number 1
loop_
_symmetry_equiv_pos_as_xyz
'x,y,z'
loop_
_atom_site_label
_atom_site_type_symbol
_atom_site_fract_x
_atom_site_fract_y
_atom_site_fract_z
F1 F 0.500 0.500 0.500
F2 F 0.199 0.642 0.858
F3 F 0.801 0.358 0.142
F4 F 0.801 0.142 0.642
F5 F 0.199 0.358 0.142
F6 F 0.500 0.000 0.000
F7 F 0.801 0.858 0.358
F8 F 0.801 0.642 0.858
F9 F 0.199 0.142 0.642
F10 F 0.199 0.858 0.358
Rb1 Rb 0.500 0.330 0.830
Rb2 Rb 0.500 0.170 0.330
Rb3 Rb 0.500 0.830 0.670
Rb4 Rb 0.500 0.670 0.170
Ag1 Ag 0.000 0.500 0.500
Ag2 Ag 0.000 0.000 0.000
Zn1 Zn 0.000 0.000 0.500
Zn2 Zn 0.000 0.500 0.000
# Final energy ... -3.737 eV/atom
# V ... 341 Å³ per cell
# M_tot ... 0.2 μB/cell
# SG ... P4/mbm

=====

(6)
# K3Sr | the Alexandria database | PBE-GGA | optimized geometry
data_K3Sr
_cell_length_a 4.437
_cell_length_b 6.682
_cell_length_c 9.064
_cell_angle_alpha 90.00
_cell_angle_beta 90.00
_cell_angle_gamma 90.00
_symmetry_space_group_name_H-M 'P 1'
_symmetry_Int_Tables_number 1
loop_
_symmetry_equiv_pos_as_xyz
'x,y,z'
loop_
_atom_site_label
_atom_site_type_symbol
_atom_site_fract_x
_atom_site_fract_y
_atom_site_fract_z
K1 K 0.000 0.000 0.500
K2 K 0.500 0.500 0.758
K3 K 0.500 0.500 0.242
Sr1 Sr 0.000 0.000 0.000
# V ... 269 Å³ per cell
# M_tot ... 0.0 μB/cell
# SG ... Pmmm
# Energy of formation ... 89 meV/atom

=====

(7)
# Cs2MgHg2Te4 | the Alexandria database | PBE-GGA | optimized geometry
data_Cs2MgHg2Te4
_cell_length_a 4.513
_cell_length_b 8.826
_cell_length_c 9.271
_cell_angle_alpha 106.23
_cell_angle_beta 104.09
_cell_angle_gamma 90.00
_symmetry_space_group_name_H-M 'P 1'
_symmetry_Int_Tables_number 1
loop_
_symmetry_equiv_pos_as_xyz
'x,y,z'
loop_
_atom_site_label
_atom_site_type_symbol
_atom_site_fract_x
_atom_site_fract_y
_atom_site_fract_z
Te1 Te 0.491 0.219 0.982
Te2 Te 0.206 0.186 0.412
Te3 Te 0.794 0.814 0.588
Te4 Te 0.509 0.781 0.018
Hg1 Hg 0.335 0.028 0.671
Hg2 Hg 0.665 0.972 0.329
Cs1 Cs 0.126 0.559 0.251
Cs2 Cs 0.874 0.441 0.749
Mg1 Mg 0.000 0.000 0.000
# Final energy ... -2.474 eV/atom
# V ... 343 Å³ per cell
# M_tot ... 0.0 μB/cell
# SG ... C2/m

=====

(8)
# Dy2VGa5 | the Alexandria database | PBE-GGA | optimized geometry
data_Dy2VGa5
_cell_length_a 5.873
_cell_length_b 5.873
_cell_length_c 5.873
_cell_angle_alpha 100.34
_cell_angle_beta 114.22
_cell_angle_gamma 114.22
_symmetry_space_group_name_H-M 'P 1'
_symmetry_Int_Tables_number 1
loop_
_symmetry_equiv_pos_as_xyz
'x,y,z'
loop_
_atom_site_label
_atom_site_type_symbol
_atom_site_fract_x
_atom_site_fract_y
_atom_site_fract_z
Dy1 Dy 0.500 0.765 0.265
Dy2 Dy 0.500 0.265 0.765
Ga1 Ga 0.000 0.308 0.728
Ga2 Ga 0.000 0.728 0.308
Ga3 Ga 0.000 0.234 0.234
Ga4 Ga 0.420 0.728 0.728
Ga5 Ga 0.580 0.308 0.308
V1 V 0.000 0.887 0.887
# V ... 153 Å³ per cell
# M_tot ... 1.2 μB/cell
# SG ... I4mm
# Energy of formation ... -366 meV/atom

=====

(9)
# CsGeP | the Alexandria database | PBE-GGA | optimized geometry
data_CsGeP
_cell_length_a 3.667
_cell_length_b 4.814
_cell_length_c 6.341
_cell_angle_alpha 88.75
_cell_angle_beta 73.17
_cell_angle_gamma 90.00
_symmetry_space_group_name_H-M 'P 1'
_symmetry_Int_Tables_number 1
loop_
_symmetry_equiv_pos_as_xyz
'x,y,z'
loop_
_atom_site_label
_atom_site_type_symbol
_atom_site_fract_x
_atom_site_fract_y
_atom_site_fract_z
Ge1 Ge 0.189 0.513 0.751
P1 P 0.807 0.478 0.515
Cs1 Cs 0.474 0.994 0.179
# V ... 107 Å³ per cell
# M_tot ... 0.0 μB/cell
# SG ... Cm
# Energy of formation ... -162 meV/atom

=====

(10)
# UVS3 | the Alexandria database | PBE-GGA | optimized geometry
data_UVS3
_cell_length_a 6.302
_cell_length_b 7.506
_cell_length_c 10.482
_cell_angle_alpha 90.00
_cell_angle_beta 90.00
_cell_angle_gamma 90.00
_symmetry_space_group_name_H-M 'P 1'
_symmetry_Int_Tables_number 1
loop_
_symmetry_equiv_pos_as_xyz
'x,y,z'
loop_
_atom_site_label
_atom_site_type_symbol
_atom_site_fract_x
_atom_site_fract_y
_atom_site_fract_z
S1 S 0.843 0.185 0.924
S2 S 0.657 0.685 0.924
S3 S 0.655 0.001 0.250
S4 S 0.845 0.501 0.250
S5 S 0.157 0.815 0.424
S6 S 0.657 0.685 0.576
S7 S 0.843 0.185 0.576
S8 S 0.343 0.315 0.424
S9 S 0.343 0.315 0.076
S10 S 0.345 0.999 0.750
S11 S 0.157 0.815 0.076
S12 S 0.155 0.499 0.750
U1 U 0.500 0.000 0.500
U2 U 0.500 0.000 0.000
U3 U 0.000 0.500 0.500
U4 U 0.000 0.500 0.000
V1 V 0.061 0.198 0.750
V2 V 0.561 0.302 0.250
V3 V 0.939 0.802 0.250
V4 V 0.439 0.698 0.750
# Final energy ... -7.530 eV/atom
# V ... 496 Å³ per cell
# M_tot ... 19.9 μB/cell
# SG ... Pnma

=====

(11)
# LaCuIr2 | the Alexandria database | PBE-GGA | optimized geometry
data_LaCuIr2
_cell_length_a 4.459
_cell_length_b 2.976
_cell_length_c 5.550
_cell_angle_alpha 77.81
_cell_angle_beta 90.00
_cell_angle_gamma 90.00
_symmetry_space_group_name_H-M 'P 1'
_symmetry_Int_Tables_number 1
loop_
_symmetry_equiv_pos_as_xyz
'x,y,z'
loop_
_atom_site_label
_atom_site_type_symbol
_atom_site_fract_x
_atom_site_fract_y
_atom_site_fract_z
La1 La 0.500 0.250 0.250
Cu1 Cu 0.500 0.750 0.750
Ir1 Ir 0.000 0.579 0.547
Ir2 Ir 0.000 0.921 0.953
# V ... 72 Å³ per cell
# M_tot ... 0.0 μB/cell
# SG ... P2/m
# Energy of formation ... -38 meV/atom

=====

(12)
# LiNp2HgO8 | the Alexandria database | PBE-GGA | optimized geometry
data_LiNp2HgO8
_cell_length_a 4.907
_cell_length_b 4.908
_cell_length_c 7.054
_cell_angle_alpha 89.98
_cell_angle_beta 89.98
_cell_angle_gamma 90.40
_symmetry_space_group_name_H-M 'P 1'
_symmetry_Int_Tables_number 1
loop_
_symmetry_equiv_pos_as_xyz
'x,y,z'
loop_
_atom_site_label
_atom_site_type_symbol
_atom_site_fract_x
_atom_site_fract_y
_atom_site_fract_z
O1 O 0.683 0.683 0.000
O2 O 0.770 0.230 0.236
O3 O 0.317 0.317 0.500
O4 O 0.317 0.317 0.000
O5 O 0.683 0.683 0.500
O6 O 0.230 0.770 0.236
O7 O 0.230 0.770 0.764
O8 O 0.770 0.230 0.764
Hg1 Hg 0.000 0.000 0.500
Np1 Np 0.500 0.500 0.243
Np2 Np 0.500 0.500 0.757
Li1 Li 0.000 0.000 0.000
# Final energy ... -7.797 eV/atom
# V ... 170 Å³ per cell
# M_tot ... 1.0 μB/cell
# SG ... Cmmm